Record 1
Entry from the Alexandria database: Ta2AlPb after structural relaxation (GGA-PBE).

Lattice parameters (Å, degrees): 3.0252 3.0252 8.4481 90.00 90.00 90.00
Sites, in units of the cell vectors:
Ta: 0.0000 0.0000 0.0304
Pb: 0.5000 0.5000 0.7500
Ta: 0.0000 0.0000 0.4696
Al: 0.5000 0.5000 0.2500

Properties
- ΔH_f (0 K) (eV per atom) = 0.32

=====

Record 2
Entry from the Alexandria database: Pm4Pr2Dy2Y after structural relaxation (GGA-PBE).

Lattice parameters (Å, degrees): 5.1471 8.1415 8.1048 107.58 90.00 108.43
Sites, in units of the cell vectors:
Dy: 0.6667 0.3335 0.0003
Pm: 0.7783 0.5567 0.6692
Pr: 0.1119 0.2238 0.6687
Pm: 0.4442 0.8885 0.6686
Y: 0.0000 0.0000 0.0000
Pm: 0.5558 0.1115 0.3314
Dy: 0.3333 0.6665 0.9997
Pr: 0.8881 0.7762 0.3313
Pm: 0.2217 0.4433 0.3308

Properties
- ΔH_f (0 K) (eV per atom) = 0.02

=====

Record 3
Entry from the Alexandria database: BaSrO2 after structural relaxation (GGA-PBE).

Lattice parameters (Å, degrees): 3.7358 3.7358 6.8941 74.28 74.28 60.00
Sites, in units of the cell vectors:
O: 0.2463 0.2463 0.2611
O: 0.0873 0.0873 0.7381
Sr: 0.4988 0.4988 0.5035
Ba: 0.6676 0.6676 0.9973

Properties
- formation energy (no corrections) (eV per atom) = -2.4528
- distance to the lowest polymorph of the same formula (eV per formula unit) = 0.49

=====

Record 4
Entry from the Alexandria database: La7Sm12Mg after structural relaxation (GGA-PBE).

Lattice parameters (Å, degrees): 10.0013 10.0013 10.0013 109.47 109.47 109.47
Sites, in units of the cell vectors:
Sm: 0.4905 0.2450 0.2455
La: 0.5000 0.5000 0.5000
Sm: 0.7545 0.9996 0.2450
La: 0.5000 0.0000 0.0000
Sm: 0.0004 0.7550 0.2455
Sm: 0.9996 0.2450 0.7545
Sm: 0.7550 0.7545 0.5095
Mg: 0.0000 0.0000 0.0000
La: 0.5000 0.5000 0.0000
Sm: 0.7550 0.2455 0.0004
Sm: 0.7545 0.5095 0.7550
Sm: 0.2455 0.0004 0.7550
La: 0.0000 0.5000 0.5000
Sm: 0.2455 0.4905 0.2450
Sm: 0.2450 0.2455 0.4905
La: 0.5000 0.0000 0.5000
Sm: 0.5095 0.7550 0.7545
Sm: 0.2450 0.7545 0.9996
La: 0.0000 0.5000 0.0000
La: 0.0000 0.0000 0.5000

Properties
- ΔH_f (0 K) (eV per atom) = 0.59

=====

Record 5
Entry from the Alexandria database: Pm3Al2Au3 after structural relaxation (GGA-PBE).

Lattice parameters (Å, degrees): 4.5245 5.9392 15.0183 90.00 90.00 112.39
Sites, in units of the cell vectors:
Au: 0.3818 0.7637 0.5449
Pm: 0.9149 0.8299 0.1057
Au: 0.3818 0.7637 0.9551
Al: 0.7900 0.5800 0.5958
Au: 0.6182 0.2363 0.0449
Pm: 0.9149 0.8299 0.3943
Al: 0.2100 0.4200 0.4042
Pm: 0.3865 0.7729 0.7500
Pm: 0.0851 0.1701 0.8943
Au: 0.3278 0.6555 0.2500
Al: 0.2100 0.4200 0.0958
Al: 0.7900 0.5800 0.9042
Au: 0.6722 0.3445 0.7500
Pm: 0.6135 0.2271 0.2500
Au: 0.6182 0.2363 0.4551
Pm: 0.0851 0.1701 0.6057

Properties
- ΔH_f (0 K) (eV per atom) = -0.74

=====

Record 6
Entry from the Alexandria database: EuZnGaAu after structural relaxation (GGA-PBE).

Lattice parameters (Å, degrees): 4.9191 4.9191 4.9191 60.00 60.00 60.00
Sites, in units of the cell vectors:
Au: 0.0000 0.0000 0.0000
Eu: 0.7500 0.7500 0.7500
Ga: 0.2500 0.2500 0.2500
Zn: 0.5000 0.5000 0.5000

Properties
- ΔH_f (0 K) (eV per atom) = -0.39

=====

Record 7
Entry from the Alexandria database: LiMnNiPb after structural relaxation (GGA-PBE).

Lattice parameters (Å, degrees): 4.4259 4.4259 4.4259 60.00 60.00 60.00
Sites, in units of the cell vectors:
Ni: 0.2500 0.2500 0.2500
Pb: 0.0000 0.0000 0.0000
Mn: 0.5000 0.5000 0.5000
Li: 0.7500 0.7500 0.7500

Properties
- ΔH_f (0 K) (eV per atom) = 0.00

=====

Record 8
Entry from the Alexandria database: Np4Ga12Ir after structural relaxation (GGA-PBE).

Lattice parameters (Å, degrees): 7.4550 7.4550 7.4550 109.47 109.47 109.47
Sites, in units of the cell vectors:
Ga: 0.7081 0.0000 0.7081
Np: 0.5000 0.0000 0.0000
Ga: 0.0000 0.7081 0.7081
Ga: 0.2500 0.5000 0.7500
Ga: 0.2919 0.2919 0.0000
Ir: 0.0000 0.0000 0.0000
Ga: 0.5000 0.7500 0.2500
Np: 0.0000 0.5000 0.0000
Ga: 0.2500 0.7500 0.5000
Ga: 0.0000 0.2919 0.2919
Np: 0.5000 0.5000 0.5000
Ga: 0.7081 0.7081 0.0000
Ga: 0.7500 0.5000 0.2500
Np: 0.0000 0.0000 0.5000
Ga: 0.7500 0.2500 0.5000
Ga: 0.2919 0.0000 0.2919
Ga: 0.5000 0.2500 0.7500

Properties
- ΔH_f (0 K) (eV per atom) = -0.28

=====

Record 9
Entry from the Alexandria database: Nd2TmHg3 after structural relaxation (GGA-PBE).

Lattice parameters (Å, degrees): 3.7445 3.7445 11.5914 90.00 90.00 90.00
Sites, in units of the cell vectors:
Tm: 0.5000 0.5000 0.5000
Hg: 0.0000 0.0000 0.0000
Nd: 0.5000 0.5000 0.1721
Hg: 0.0000 0.0000 0.3503
Hg: 0.0000 0.0000 0.6497
Nd: 0.5000 0.5000 0.8279

Properties
- ΔH_f (0 K) (eV per atom) = -0.47

=====

Record 10
Entry from the Alexandria database: GeBi2PtRh after structural relaxation (GGA-PBE).

Lattice parameters (Å, degrees): 5.1162 5.1162 5.1216 90.00 90.00 90.00
Sites, in units of the cell vectors:
Rh: 0.0000 0.0000 0.0000
Ge: 0.5000 0.5000 0.5000
Bi: 0.0000 0.5000 0.0000
Pt: 0.0000 0.0000 0.5000
Bi: 0.5000 0.0000 0.0000

Properties
- ΔH_f (0 K) (eV per atom) = 0.66

=====

Record 11
Entry from the Alexandria database: Li2PuPbO6 after structural relaxation (GGA-PBE).

Lattice parameters (Å, degrees): 5.4393 5.4388 5.9150 62.63 62.63 59.99
Sites, in units of the cell vectors:
O: 0.5738 0.2288 0.2555
O: 0.2289 0.9420 0.2555
Pb: 0.8155 0.8155 0.5535
O: 0.9419 0.5735 0.2557
Pu: 0.3211 0.3211 0.0367
Li: 0.0231 0.0234 0.9303
O: 0.4006 0.7018 0.7955
O: 0.1020 0.4007 0.7954
O: 0.7019 0.1021 0.7954
Li: 0.5528 0.5527 0.3418

Properties
- formation energy (no corrections) (eV per atom) = -1.8866

=====

Record 12
Entry from the Alexandria database: Ce2AlFe3 after structural relaxation (GGA-PBE).

Lattice parameters (Å, degrees): 5.1506 5.1506 5.1506 61.14 61.14 61.14
Sites, in units of the cell vectors:
Fe: 0.5000 0.0000 0.0000
Al: 0.0000 0.0000 0.0000
Ce: 0.6160 0.6160 0.6160
Ce: 0.3840 0.3840 0.3840
Fe: 0.0000 0.0000 0.5000
Fe: 0.0000 0.5000 0.0000

Properties
- ΔH_f (0 K) (eV per atom) = -0.16
- distance to the lowest polymorph of the same formula (eV per formula unit) = 0.13